[1]
Below is a geometry-optimized K3AgTe structure, with properties calculated at the GGA-PBE level.

```
data_K3AgTe
_chemical_formula_sum 'K3 Ag1 Te1'
_cell_length_a 6.607
_cell_length_b 6.607
_cell_length_c 6.607
_cell_angle_alpha 90.00
_cell_angle_beta 90.00
_cell_angle_gamma 90.00
_space_group_name_H-M_alt 'P m -3 m'
_space_group_IT_number 221
_space_group_name_Hall '-P 4 2 3'
loop_
_atom_site_label
_atom_site_type_symbol
_atom_site_fract_x
_atom_site_fract_y
_atom_site_fract_z
_atom_site_occupancy
K1 K 0.000 0.000 0.500 1
Ag1 Ag 0.500 0.500 0.500 1
Te1 Te 0.000 0.000 0.000 1
```

Calculated values
Fermi-level density of states	0.0	states/eV/f.u.
uncorrected energy	-2.278	eV/atom
calculated volume	288.38	Å³ per cell
ρ	2.03	g/cm³
energy relative to the lowest polymorph listed for this composition	0.0	meV/atom



[2]
Below is a geometry-optimized RbYTi structure, with properties calculated at the GGA-PBE level.

```
data_RbYTi
_chemical_formula_sum 'Rb2 Y2 Ti2'
_cell_length_a 4.952
_cell_length_b 4.952
_cell_length_c 10.487
_cell_angle_alpha 90.00
_cell_angle_beta 90.00
_cell_angle_gamma 90.00
_space_group_name_H-M_alt 'P 4/n m m'
_space_group_IT_number 129
loop_
_space_group_symop_operation_xyz
'x,y,z'
'-x,-y,-z'
'-y+1/2,x,z'
'y+1/2,-x,-z'
'-x+1/2,-y+1/2,z'
'x+1/2,y+1/2,-z'
'y,-x+1/2,z'
'-y,x+1/2,-z'
'x+1/2,-y,-z'
'-x+1/2,y,z'
'-y,-x,-z'
'y,x,z'
'-x,y+1/2,-z'
'x,-y+1/2,z'
'y+1/2,x+1/2,-z'
'-y+1/2,-x+1/2,z'
loop_
_atom_site_label
_atom_site_type_symbol
_atom_site_fract_x
_atom_site_fract_y
_atom_site_fract_z
_atom_site_occupancy
Rb1 Rb 0.250 0.250 0.146 1
Y1 Y 0.250 0.750 0.500 1
Ti1 Ti 0.250 0.250 0.694 1
```

Calculated values
Fermi-level density of states	3.1	states/eV/f.u.
energy relative to the elements	890	meV per atom
uncorrected energy	-4.219	eV/atom
calculated volume	257.11	Å³ per cell
ρ	2.87	g/cm³
energy relative to the lowest polymorph listed for this composition	616.1	meV/atom



[3]
Below is a geometry-optimized La2ScP structure, with properties calculated at the GGA-PBE level.

```
data_La2ScP
_chemical_formula_sum 'La8 Sc4 P4'
_cell_length_a 8.825
_cell_length_b 8.825
_cell_length_c 5.779
_cell_angle_alpha 90.00
_cell_angle_beta 90.00
_cell_angle_gamma 90.00
_space_group_name_H-M_alt 'I -4 2 d'
_space_group_IT_number 122
_space_group_name_Hall 'I -4 2bw'
loop_
_atom_site_label
_atom_site_type_symbol
_atom_site_fract_x
_atom_site_fract_y
_atom_site_fract_z
_atom_site_occupancy
La1 La 0.193 0.250 0.125 1
Sc1 Sc 0.000 0.000 0.500 1
P1 P 0.000 0.000 0.000 1
```

Calculated values
Fermi-level density of states	1.2	states/eV/f.u.
energy relative to the elements	-402	meV per atom
uncorrected energy	-5.801	eV/atom
calculated volume	450.04	Å³ per cell
ρ	5.22	g/cm³



[4]
Below is a geometry-optimized La8Er2Tm3 structure, with properties calculated at the GGA-PBE level.

```
data_La8Er2Tm3
_chemical_formula_sum 'La16 Er4 Tm6'
_cell_length_a 20.435
_cell_length_b 7.760
_cell_length_c 5.801
_cell_angle_alpha 90.00
_cell_angle_beta 90.04
_cell_angle_gamma 90.00
_space_group_name_H-M_alt 'C 1 2/m 1'
_space_group_IT_number 12
loop_
_space_group_symop_operation_xyz
'x,y,z'
'-x,-y,-z'
'-x,y,-z'
'x,-y,z'
'x+1/2,y+1/2,z'
'-x+1/2,-y+1/2,-z'
'-x+1/2,y+1/2,-z'
'x+1/2,-y+1/2,z'
loop_
_atom_site_label
_atom_site_type_symbol
_atom_site_fract_x
_atom_site_fract_y
_atom_site_fract_z
_atom_site_occupancy
La1 La 0.105 0.199 0.000 1
La2 La 0.129 0.500 0.499 1
La3 La 0.176 0.000 0.501 1
Er1 Er 0.239 0.500 0.998 1
Tm1 Tm 0.000 0.215 0.500 1
Tm2 Tm 0.000 0.500 0.000 1
```

Calculated values
Fermi-level density of states	16.4	states/eV/f.u.
energy relative to the elements	179	meV per atom
uncorrected energy	-4.587	eV/atom
calculated volume	919.84	Å³ per cell
ρ	7.05	g/cm³
energy relative to the lowest polymorph listed for this composition	5.1	meV/atom



[5]
Below is a geometry-optimized HfAs2BrN structure, with properties calculated at the GGA-PBE level.

```
data_HfAs2BrN
_chemical_formula_sum 'Hf1 As2 Br1 N1'
_cell_length_a 5.193
_cell_length_b 5.193
_cell_length_c 5.342
_cell_angle_alpha 90.00
_cell_angle_beta 90.00
_cell_angle_gamma 90.00
_space_group_name_H-M_alt 'P 4/m m m'
_space_group_IT_number 123
_space_group_name_Hall '-P 4 2'
loop_
_atom_site_label
_atom_site_type_symbol
_atom_site_fract_x
_atom_site_fract_y
_atom_site_fract_z
_atom_site_occupancy
Hf1 Hf 0.000 0.000 0.000 1
As1 As 0.000 0.500 0.000 1
Br1 Br 0.000 0.000 0.500 1
N1 N 0.500 0.500 0.500 1
```

Calculated values
Fermi-level density of states	4.2	states/eV/f.u.
uncorrected energy	-4.896	eV/atom
calculated volume	144.06	Å³ per cell
ρ	4.87	g/cm³
energy relative to the lowest polymorph listed for this composition	355.2	meV/atom



[6]
Below is a geometry-optimized Te2PIO structure, with properties calculated at the GGA-PBE level.

```
data_Te2PIO
_chemical_formula_sum 'Te2 P1 I1 O1'
_cell_length_a 5.240
_cell_length_b 5.240
_cell_length_c 5.233
_cell_angle_alpha 90.00
_cell_angle_beta 90.00
_cell_angle_gamma 90.00
_space_group_name_H-M_alt 'P 4/m m m'
_space_group_IT_number 123
_space_group_name_Hall '-P 4 2'
loop_
_atom_site_label
_atom_site_type_symbol
_atom_site_fract_x
_atom_site_fract_y
_atom_site_fract_z
_atom_site_occupancy
Te1 Te 0.000 0.500 0.000 1
P1 P 0.000 0.000 0.000 1
I1 I 0.000 0.000 0.500 1
O1 O 0.500 0.500 0.500 1
```

Calculated values
Fermi-level density of states	7.3	states/eV/f.u.
uncorrected energy	-2.621	eV/atom
calculated volume	143.70	Å³ per cell
ρ	4.96	g/cm³
energy relative to the lowest polymorph listed for this composition	466.8	meV/atom



calculated volume of number 2 (RbYTi)?
257.11 Å³ per cell



Among the records above, which one has the lowest ρ?
K3AgTe



Number 6 is which compound?
Te2PIO



What is the formula in the third record?
La2ScP